Below is PrNd4Tm5 after structural relaxation, with properties calculated at the PBE level.

Cell: 8.7401 8.7401 11.3210 Å, 90.29 90.29 23.31°
Fractional coordinates of all 10 atoms:
Pr 0.0000 0.0000 0.0000
Nd 0.1580 0.1580 0.2499
Nd 0.4669 0.4669 0.2534
Nd 0.5331 0.5331 0.7466
Nd 0.8420 0.8420 0.7501
Tm 0.0000 0.0000 0.5000
Tm 0.3250 0.3250 0.0509
Tm 0.3275 0.3275 0.4563
Tm 0.6725 0.6725 0.5437
Tm 0.6750 0.6750 0.9491

The crystal system is monoclinic. As for the space group: C2/m, No. 12. Its formation energy is 2.01 eV/f.u.